1.
The following is a DFT calculation (PBE) of a relaxed structure of HfTcS4. Values from VASP.

Calculated values
Space group: P-1
Total magnetic moment, μB per formula unit: 0.01
Total DFT energy (no corrections), eV per atom: -7.084

```
&SYSTEM
  ibrav = 0, nat = 12, ntyp = 3
/
ATOMIC_SPECIES
Hf 178.49 Hf.upf
Tc 98.00 Tc.upf
S 32.06 S.upf
CELL_PARAMETERS angstrom
6.799 0.000 0.000
3.390 5.904 0.000
3.202 -0.118 6.092
ATOMIC_POSITIONS crystal
Hf 0.244 0.514 0.497
Hf 0.756 0.486 0.503
Tc 0.288 0.000 0.500
Tc 0.712 0.000 0.500
S 0.456 0.329 0.750
S 0.021 0.671 0.249
S 0.542 0.159 0.241
S 0.979 0.329 0.751
S 0.544 0.671 0.250
S 0.961 0.869 0.722
S 0.458 0.841 0.759
S 0.039 0.131 0.278
```

***

2.
The following is a DFT calculation (PBE) of a relaxed structure of Hf4TlS8. Values from VASP.

Calculated values
Space group: R-3m
Total magnetic moment, μB per formula unit: 0.00
Total DFT energy (no corrections), eV per atom: -7.272

```
&SYSTEM
  ibrav = 0, nat = 13, ntyp = 3
/
ATOMIC_SPECIES
Tl 204.38 Tl.upf
S 32.06 S.upf
Hf 178.49 Hf.upf
CELL_PARAMETERS angstrom
2.677 -7.760 3.567
3.576 -7.375 -3.597
8.062 -3.803 0.807
ATOMIC_POSITIONS crystal
Tl 0.500 0.500 0.500
S 0.272 0.272 0.272
S 0.772 0.270 0.772
S 0.270 0.772 0.772
S 0.728 0.728 0.728
S 0.228 0.228 0.730
S 0.730 0.228 0.228
S 0.228 0.730 0.228
S 0.772 0.772 0.270
Hf 0.000 0.000 0.000
Hf 0.500 0.500 0.000
Hf 0.000 0.500 0.500
Hf 0.500 0.000 0.500
```

***

3.
The following is a DFT calculation (PBE) of a relaxed structure of HfTl2S3. Values from VASP.

Calculated values
Space group: Pnma
Total magnetic moment, μB per formula unit: 0.00
Total DFT energy (no corrections), eV per atom: -5.508

```
&SYSTEM
  ibrav = 0, nat = 24, ntyp = 3
/
ATOMIC_SPECIES
Hf 178.49 Hf.upf
S 32.06 S.upf
Tl 204.38 Tl.upf
CELL_PARAMETERS angstrom
-4.669 -10.848 -9.625
3.524 -0.460 -1.190
1.700 -7.911 8.091
ATOMIC_POSITIONS crystal
Hf 0.430 0.250 0.880
Hf 0.070 0.750 0.380
Hf 0.570 0.750 0.120
Hf 0.930 0.250 0.620
S 0.064 0.750 0.162
S 0.936 0.250 0.838
S 0.451 0.250 0.109
S 0.564 0.750 0.338
S 0.436 0.250 0.662
S 0.549 0.750 0.891
S 0.681 0.250 0.103
S 0.951 0.250 0.391
S 0.819 0.750 0.603
S 0.319 0.750 0.897
S 0.049 0.750 0.609
S 0.181 0.250 0.397
Tl 0.218 0.250 0.137
Tl 0.418 0.250 0.370
Tl 0.782 0.750 0.863
Tl 0.582 0.750 0.630
Tl 0.082 0.750 0.870
Tl 0.918 0.250 0.130
Tl 0.718 0.250 0.363
Tl 0.282 0.750 0.637
```

***

4.
The following is a DFT calculation (PBE) of a relaxed structure of Hf3TlS5. Values from VASP.

Calculated values
Space group: P6/mmm
Total magnetic moment, μB per formula unit: 0.00
Total DFT energy (no corrections), eV per atom: -6.930

```
&SYSTEM
  ibrav = 0, nat = 9, ntyp = 3
/
ATOMIC_SPECIES
Hf 178.49 Hf.upf
S 32.06 S.upf
Tl 204.38 Tl.upf
CELL_PARAMETERS angstrom
-3.981 1.268 4.336
3.149 -5.128 0.210
5.067 3.264 3.698
ATOMIC_POSITIONS crystal
Hf 0.000 0.500 0.500
Hf 0.500 0.000 0.500
Hf 0.500 0.500 0.500
S 0.000 0.000 0.500
S 0.333 0.667 0.239
S 0.667 0.333 0.239
S 0.667 0.333 0.761
S 0.333 0.667 0.761
Tl 0.000 0.000 0.000
```

***

5.
The following is a DFT calculation (PBE) of a relaxed structure of HfTl2S3. Values from VASP.

Calculated values
Space group: P2_1/m
Total magnetic moment, μB per formula unit: 0.01
Total DFT energy (no corrections), eV per atom: -5.518

```
&SYSTEM
  ibrav = 0, nat = 12, ntyp = 3
/
ATOMIC_SPECIES
Tl 204.38 Tl.upf
Hf 178.49 Hf.upf
S 32.06 S.upf
CELL_PARAMETERS angstrom
8.003 0.000 0.000
0.000 3.773 0.000
-1.442 0.000 10.431
ATOMIC_POSITIONS crystal
Tl 0.253 0.750 0.508
Tl 0.058 0.250 0.161
Tl 0.942 0.750 0.839
Tl 0.747 0.250 0.492
Hf 0.585 0.750 0.161
Hf 0.415 0.250 0.839
S 0.543 0.750 0.721
S 0.316 0.750 0.983
S 0.457 0.250 0.279
S 0.142 0.250 0.698
S 0.858 0.750 0.302
S 0.684 0.250 0.017
```

***

6.
The following is a DFT calculation (PBE) of a relaxed structure of Hf2Tl2S5. Values from VASP.

Calculated values
Space group: C2/c
Total magnetic moment, μB per formula unit: 0.00
Total DFT energy (no corrections), eV per atom: -6.172

```
&SYSTEM
  ibrav = 0, nat = 18, ntyp = 3
/
ATOMIC_SPECIES
Tl 204.38 Tl.upf
S 32.06 S.upf
Hf 178.49 Hf.upf
CELL_PARAMETERS angstrom
-1.705 3.354 5.553
-2.233 -4.130 4.790
12.075 -0.895 0.427
ATOMIC_POSITIONS crystal
Tl 0.126 0.469 0.688
Tl 0.874 0.531 0.312
Tl 0.531 0.874 0.812
Tl 0.469 0.126 0.188
S 0.876 0.146 0.109
S 0.647 0.751 0.541
S 0.353 0.249 0.459
S 0.146 0.876 0.609
S 0.751 0.647 0.041
S 0.854 0.124 0.391
S 0.249 0.353 0.959
S 0.312 0.688 0.250
S 0.124 0.854 0.891
S 0.688 0.312 0.750
Hf 0.746 0.071 0.559
Hf 0.071 0.746 0.059
Hf 0.929 0.254 0.941
Hf 0.254 0.929 0.441
```

***

7.
The following is a DFT calculation (PBE) of a relaxed structure of HfTl2S3. Values from VASP.

Calculated values
Space group: P-1
Total magnetic moment, μB per formula unit: 0.00
Total DFT energy (no corrections), eV per atom: -5.395

```
&SYSTEM
  ibrav = 0, nat = 12, ntyp = 3
/
ATOMIC_SPECIES
Hf 178.49 Hf.upf
Tl 204.38 Tl.upf
S 32.06 S.upf
CELL_PARAMETERS angstrom
6.903 0.000 0.000
3.433 6.769 0.000
2.628 -1.312 8.110
ATOMIC_POSITIONS crystal
Hf 0.583 0.557 0.312
Hf 0.417 0.443 0.688
Tl 0.721 0.692 0.885
Tl 0.890 0.966 0.286
Tl 0.279 0.308 0.115
Tl 0.110 0.034 0.714
S 0.226 0.564 0.485
S 0.774 0.436 0.515
S 0.766 0.314 0.072
S 0.515 0.877 0.246
S 0.485 0.123 0.754
S 0.234 0.686 0.928
```

***

8.
The following is a DFT calculation (PBE) of a relaxed structure of Y3HfS. Values from VASP.

Calculated values
Space group: R-3c
Total magnetic moment, μB per formula unit: 0.83
Total DFT energy (no corrections), eV per atom: -6.493

```
&SYSTEM
  ibrav = 0, nat = 10, ntyp = 3
/
ATOMIC_SPECIES
Hf 178.49 Hf.upf
Y 88.91 Y.upf
S 32.06 S.upf
CELL_PARAMETERS angstrom
3.714 2.144 6.566
-3.714 2.144 6.566
0.000 -4.289 6.566
ATOMIC_POSITIONS crystal
Hf 0.500 0.500 0.500
Hf 0.000 0.000 0.000
Y 0.106 0.750 0.394
Y 0.250 0.606 0.894
Y 0.394 0.106 0.750
Y 0.894 0.250 0.606
Y 0.606 0.894 0.250
Y 0.750 0.394 0.106
S 0.250 0.250 0.250
S 0.750 0.750 0.750
```

***

9.
The following is a DFT calculation (PBE) of a relaxed structure of Y2HfS5. Values from VASP.

Calculated values
Space group: Pnma
Total magnetic moment, μB per formula unit: 0.00
Total DFT energy (no corrections), eV per atom: -7.320

```
&SYSTEM
  ibrav = 0, nat = 32, ntyp = 3
/
ATOMIC_SPECIES
S 32.06 S.upf
Y 88.91 Y.upf
Hf 178.49 Hf.upf
CELL_PARAMETERS angstrom
11.528 0.000 0.000
0.000 7.735 0.000
0.000 0.000 7.252
ATOMIC_POSITIONS crystal
S 0.907 0.463 0.339
S 0.504 0.250 0.554
S 0.181 0.250 0.333
S 0.907 0.037 0.339
S 0.707 0.750 0.188
S 0.407 0.037 0.161
S 0.293 0.250 0.812
S 0.093 0.963 0.661
S 0.819 0.750 0.667
S 0.207 0.750 0.312
S 0.793 0.250 0.688
S 0.593 0.963 0.839
S 0.496 0.750 0.446
S 0.093 0.537 0.661
S 0.319 0.750 0.833
S 0.004 0.250 0.946
S 0.593 0.537 0.839
S 0.681 0.250 0.167
S 0.996 0.750 0.054
S 0.407 0.463 0.161
Y 0.321 0.003 0.523
Y 0.821 0.003 0.977
Y 0.321 0.497 0.523
Y 0.679 0.503 0.477
Y 0.179 0.503 0.023
Y 0.821 0.497 0.977
Y 0.179 0.997 0.023
Y 0.679 0.997 0.477
Hf 0.506 0.250 0.924
Hf 0.006 0.250 0.576
Hf 0.494 0.750 0.076
Hf 0.994 0.750 0.424
```

***

10.
The following is a DFT calculation (PBE) of a relaxed structure of HfZrS6. Values from VASP.

Calculated values
Space group: Pm
Total magnetic moment, μB per formula unit: 0.00
Total DFT energy (no corrections), eV per atom: -6.605

```
&SYSTEM
  ibrav = 0, nat = 8, ntyp = 3
/
ATOMIC_SPECIES
S 32.06 S.upf
Zr 91.22 Zr.upf
Hf 178.49 Hf.upf
CELL_PARAMETERS angstrom
5.143 0.000 0.000
0.000 3.623 0.000
-0.774 0.000 9.211
ATOMIC_POSITIONS crystal
S 0.241 0.000 0.945
S 0.496 0.500 0.682
S 0.504 0.000 0.320
S 0.901 0.500 0.678
S 0.758 0.500 0.050
S 0.100 0.000 0.325
Zr 0.272 0.500 0.150
Hf 0.728 0.000 0.849
```

***

11.
The following is a DFT calculation (PBE) of a relaxed structure of HfSb. Values from VASP.

Calculated values
Space group: P2_13
Total magnetic moment, μB per formula unit: 0.00
Total DFT energy (no corrections), eV per atom: -7.588

```
&SYSTEM
  ibrav = 0, nat = 8, ntyp = 2
/
ATOMIC_SPECIES
Hf 178.49 Hf.upf
Sb 121.76 Sb.upf
CELL_PARAMETERS angstrom
-2.052 3.545 3.853
-0.843 -4.308 3.515
5.167 0.705 2.103
ATOMIC_POSITIONS crystal
Hf 0.144 0.856 0.356
Hf 0.644 0.644 0.644
Hf 0.356 0.144 0.856
Hf 0.856 0.356 0.144
Sb 0.156 0.656 0.844
Sb 0.344 0.344 0.344
Sb 0.656 0.844 0.156
Sb 0.844 0.156 0.656
```

***

12.
The following is a DFT calculation (PBE) of a relaxed structure of HfSb. Values from VASP.

Calculated values
Space group: F-43m
Total magnetic moment, μB per formula unit: 0.01
Total DFT energy (no corrections), eV per atom: -6.746

```
&SYSTEM
  ibrav = 0, nat = 2, ntyp = 2
/
ATOMIC_SPECIES
Sb 121.76 Sb.upf
Hf 178.49 Hf.upf
CELL_PARAMETERS angstrom
0.000 3.239 3.239
3.239 0.000 3.239
3.239 3.239 0.000
ATOMIC_POSITIONS crystal
Sb 0.250 0.250 0.250
Hf 0.000 0.000 0.000
```

***

13.
The following is a DFT calculation (PBE) of a relaxed structure of HfSb. Values from VASP.

Calculated values
Space group: P-6m2
Total magnetic moment, μB per formula unit: 0.03
Total DFT energy (no corrections), eV per atom: -7.405

```
&SYSTEM
  ibrav = 0, nat = 2, ntyp = 2
/
ATOMIC_SPECIES
Hf 178.49 Hf.upf
Sb 121.76 Sb.upf
CELL_PARAMETERS angstrom
3.781 0.000 0.000
-1.890 3.274 0.000
0.000 0.000 3.878
ATOMIC_POSITIONS crystal
Hf 0.667 0.333 0.750
Sb 0.333 0.667 0.250
```

***

14.
The following is a DFT calculation (PBE) of a relaxed structure of Hf5Sb4. Values from VASP.

Calculated values
Space group: Pnma
Total magnetic moment, μB per formula unit: 0.01
Total DFT energy (no corrections), eV per atom: -7.783

```
&SYSTEM
  ibrav = 0, nat = 36, ntyp = 2
/
ATOMIC_SPECIES
Hf 178.49 Hf.upf
Sb 121.76 Sb.upf
CELL_PARAMETERS angstrom
-4.867 -4.643 -3.530
-4.602 -4.843 12.714
-5.245 5.383 0.152
ATOMIC_POSITIONS crystal
Hf 0.266 0.250 0.998
Hf 0.913 0.388 0.156
Hf 0.888 0.881 0.342
Hf 0.413 0.112 0.344
Hf 0.413 0.388 0.344
Hf 0.234 0.750 0.498
Hf 0.612 0.119 0.842
Hf 0.112 0.381 0.658
Hf 0.087 0.612 0.844
Hf 0.587 0.612 0.656
Hf 0.913 0.112 0.156
Hf 0.766 0.250 0.502
Hf 0.388 0.881 0.158
Hf 0.587 0.888 0.656
Hf 0.087 0.888 0.844
Hf 0.388 0.619 0.158
Hf 0.734 0.750 0.002
Hf 0.888 0.619 0.342
Hf 0.112 0.119 0.658
Hf 0.612 0.381 0.842
Sb 0.238 0.549 0.497
Sb 0.091 0.750 0.138
Sb 0.619 0.250 0.147
Sb 0.738 0.549 0.003
Sb 0.238 0.951 0.497
Sb 0.909 0.250 0.862
Sb 0.262 0.049 0.997
Sb 0.762 0.049 0.503
Sb 0.262 0.451 0.997
Sb 0.381 0.750 0.853
Sb 0.738 0.951 0.003
Sb 0.881 0.750 0.647
Sb 0.119 0.250 0.353
Sb 0.591 0.750 0.362
Sb 0.762 0.451 0.503
Sb 0.409 0.250 0.638
```

***

15.
The following is a DFT calculation (PBE) of a relaxed structure of HfSb. Values from VASP.

Calculated values
Space group: Pmma
Total magnetic moment, μB per formula unit: 0.00
Total DFT energy (no corrections), eV per atom: -7.248

```
&SYSTEM
  ibrav = 0, nat = 8, ntyp = 2
/
ATOMIC_SPECIES
Hf 178.49 Hf.upf
Sb 121.76 Sb.upf
CELL_PARAMETERS angstrom
-5.732 -0.795 1.010
0.973 -4.432 2.032
0.733 3.238 6.711
ATOMIC_POSITIONS crystal
Hf 0.750 0.000 0.299
Hf 0.250 0.000 0.701
Hf 0.000 0.500 0.500
Hf 0.500 0.500 0.500
Sb 0.250 0.500 0.866
Sb 0.250 0.000 0.308
Sb 0.750 0.500 0.134
Sb 0.750 0.000 0.692
```

***

16.
The following is a DFT calculation (PBE) of a relaxed structure of Hf5Sb3. Values from VASP.

Calculated values
Space group: Pnma
Total magnetic moment, μB per formula unit: 0.00
Total DFT energy (no corrections), eV per atom: -8.232

```
&SYSTEM
  ibrav = 0, nat = 32, ntyp = 2
/
ATOMIC_SPECIES
Hf 178.49 Hf.upf
Sb 121.76 Sb.upf
CELL_PARAMETERS angstrom
-3.950 3.608 -5.173
-7.453 -2.243 4.127
0.540 9.011 5.872
ATOMIC_POSITIONS crystal
Hf 0.802 0.058 0.559
Hf 0.198 0.942 0.441
Hf 0.695 0.750 0.777
Hf 0.198 0.558 0.441
Hf 0.698 0.942 0.059
Hf 0.195 0.750 0.723
Hf 0.027 0.750 0.990
Hf 0.642 0.250 0.784
Hf 0.527 0.750 0.510
Hf 0.698 0.558 0.059
Hf 0.302 0.058 0.941
Hf 0.142 0.250 0.716
Hf 0.302 0.442 0.941
Hf 0.802 0.442 0.559
Hf 0.973 0.250 0.010
Hf 0.805 0.250 0.277
Hf 0.858 0.750 0.284
Hf 0.473 0.250 0.490
Hf 0.358 0.750 0.216
Hf 0.305 0.250 0.223
Sb 0.927 0.008 0.825
Sb 0.927 0.492 0.825
Sb 0.417 0.750 0.955
Sb 0.073 0.992 0.175
Sb 0.573 0.992 0.325
Sb 0.427 0.008 0.675
Sb 0.573 0.508 0.325
Sb 0.427 0.492 0.675
Sb 0.083 0.250 0.455
Sb 0.917 0.750 0.545
Sb 0.073 0.508 0.175
Sb 0.583 0.250 0.045
```

***

17.
The following is a DFT calculation (PBE) of a relaxed structure of HfScSb. Values from VASP.

Calculated values
Space group: F-43m
Total magnetic moment, μB per formula unit: 0.73
Total DFT energy (no corrections), eV per atom: -6.964

```
&SYSTEM
  ibrav = 0, nat = 3, ntyp = 3
/
ATOMIC_SPECIES
Sc 44.96 Sc.upf
Sb 121.76 Sb.upf
Hf 178.49 Hf.upf
CELL_PARAMETERS angstrom
0.690 4.110 2.242
2.825 0.182 3.793
4.196 2.171 -0.276
ATOMIC_POSITIONS crystal
Sc 0.750 0.750 0.750
Sb 0.000 0.000 0.000
Hf 0.250 0.250 0.250
```

***

18.
The following is a DFT calculation (PBE) of a relaxed structure of YHfSc2Sb2. Values from VASP.

Calculated values
Space group: I4mm
Total magnetic moment, μB per formula unit: 0.50
Total DFT energy (no corrections), eV per atom: -6.873

```
&SYSTEM
  ibrav = 0, nat = 6, ntyp = 4
/
ATOMIC_SPECIES
Sc 44.96 Sc.upf
Sb 121.76 Sb.upf
Hf 178.49 Hf.upf
Y 88.91 Y.upf
CELL_PARAMETERS angstrom
-2.103 2.103 8.049
2.103 -2.103 8.049
2.103 2.103 -8.049
ATOMIC_POSITIONS crystal
Sc 0.503 0.003 0.500
Sc 0.003 0.503 0.500
Sb 0.134 0.134 0.000
Sb 0.866 0.866 0.000
Hf 0.674 0.674 0.000
Y 0.320 0.320 0.000
```

***

19.
The following is a DFT calculation (PBE) of a relaxed structure of HfZrSc2Sb2. Values from VASP.

Calculated values
Space group: I4mm
Total magnetic moment, μB per formula unit: 0.50
Total DFT energy (no corrections), eV per atom: -7.143

```
&SYSTEM
  ibrav = 0, nat = 6, ntyp = 4
/
ATOMIC_SPECIES
Zr 91.22 Zr.upf
Sb 121.76 Sb.upf
Sc 44.96 Sc.upf
Hf 178.49 Hf.upf
CELL_PARAMETERS angstrom
-2.046 2.046 7.973
2.046 -2.046 7.973
2.046 2.046 -7.973
ATOMIC_POSITIONS crystal
Zr 0.680 0.680 0.000
Sb 0.137 0.137 0.000
Sb 0.863 0.863 0.000
Sc 0.499 0.999 0.500
Sc 0.999 0.499 0.500
Hf 0.322 0.322 0.000
```

***

20.
The following is a DFT calculation (PBE) of a relaxed structure of HfSb2Se2. Values from VASP.

Calculated values
Space group: P4/mmm
Total magnetic moment, μB per formula unit: 0.36
Total DFT energy (no corrections), eV per atom: -4.925

```
&SYSTEM
  ibrav = 0, nat = 5, ntyp = 3
/
ATOMIC_SPECIES
Se 78.96 Se.upf
Hf 178.49 Hf.upf
Sb 121.76 Sb.upf
CELL_PARAMETERS angstrom
-0.231 -1.498 3.523
-0.960 -3.394 -1.506
8.881 -2.331 -0.409
ATOMIC_POSITIONS crystal
Se 0.500 0.500 0.157
Se 0.500 0.500 0.843
Hf 0.000 0.000 0.000
Sb 0.000 0.500 0.500
Sb 0.500 0.000 0.500
```